The following is a GGA-PBE calculation of FeBr2Cl after structural relaxation, from the Alexandria database.

Structure (extended XYZ):
```
4
Lattice="3.371 0.324 -0.906 -1.281 5.699 -2.725 0.083 -0.263 7.040" Properties=species:S:1:pos:R:3 pbc="T T T"
Br 1.823 5.086 1.870
Br 0.298 0.895 1.433
Cl 0.941 3.478 -2.038
Fe 0.595 5.115 4.092
```

density of states at the Fermi level	0.22	states/eV/atom
symmetry	C2 (5)
E_form (uncorrected)	-0.51	eV/atom
M_tot	4.90	Bohr magnetons per cell
polymorph energy (0 for the lowest one)	0	meV per atom
calculated total energy	-3.927	eV per atom